[1]
A plane-wave DFT calculation with PBE was carried out for a relaxed HfMnMoPt2 crystal.

Lattice parameters (Å, degrees): 4.7863 4.8462 4.7863 90.00 90.00 90.00
Last column: nearest neighbours and their distance in Å.
Positions (direct):
Mo 0.0000 0.0000 0.0000  4 Pt 2.39, 2 Hf 2.42
Mn 0.5000 0.5000 0.5000  4 Hf 3.38, 8 Pt 3.41
Hf 0.0000 0.5000 0.0000  2 Mo 2.42
Pt 0.0000 0.0000 0.5000  2 Mo 2.39
Pt 0.5000 0.0000 0.0000  2 Mo 2.39

Output
As for the magnetization: 0.1 μB per formula unit. Its energy of formation from the pure elements is 1.512 eV per atom. The calculation puts the density of states at the Fermi level at 2.070 states/eV per atom.

***

[2]
A plane-wave DFT calculation with PBE was carried out for a relaxed HfMnReMo crystal.

Lattice parameters (Å, degrees): 4.4437 4.4437 4.4437 60.00 60.00 60.00
Last column: nearest neighbours and their distance in Å.
Positions (direct):
Re 0.2500 0.2500 0.2500  4 Hf 2.72, 4 Mo 2.72
Mo 0.5000 0.5000 0.5000  4 Mn 2.72, 4 Re 2.72
Mn 0.7500 0.7500 0.7500  4 Hf 2.72, 4 Mo 2.72
Hf 0.0000 0.0000 0.0000  4 Mn 2.72, 4 Re 2.72

Output
As for the magnetization: 0.0 μB per formula unit. Its energy of formation from the pure elements is -0.118 eV per atom. The calculation puts the density of states at the Fermi level at 0.474 states/eV per atom.

***

[3]
A plane-wave DFT calculation with PBE was carried out for a relaxed HfTaMnMo crystal.

Lattice parameters (Å, degrees): 4.5224 4.5224 4.5224 60.00 60.00 60.00
Last column: nearest neighbours and their distance in Å.
Positions (direct):
Mo 0.7500 0.7500 0.7500  4 Hf 2.77, 4 Ta 2.77
Mn 0.2500 0.2500 0.2500  4 Hf 2.77, 4 Ta 2.77
Hf 0.5000 0.5000 0.5000  4 Mn 2.77, 4 Mo 2.77
Ta 0.0000 0.0000 0.0000  4 Mo 2.77, 4 Mn 2.77

Output
As for the magnetization: 0.0 μB per formula unit. Its energy of formation from the pure elements is -0.104 eV per atom. The calculation puts the density of states at the Fermi level at 1.238 states/eV per atom.

***

[4]
A plane-wave DFT calculation with PBE was carried out for a relaxed HfMnMoW crystal.

Lattice parameters (Å, degrees): 4.4638 4.4638 4.4638 60.00 60.00 60.00
Last column: nearest neighbours and their distance in Å.
Positions (direct):
Mo 0.7500 0.7500 0.7500  4 Hf 2.73, 4 W 2.73
Mn 0.2500 0.2500 0.2500  4 Hf 2.73, 4 W 2.73
Hf 0.5000 0.5000 0.5000  4 Mn 2.73, 4 Mo 2.73
W 0.0000 0.0000 0.0000  4 Mo 2.73, 4 Mn 2.73

Output
As for the magnetization: 0.0 μB per formula unit. Its energy of formation from the pure elements is -0.055 eV per atom. The calculation puts the density of states at the Fermi level at 0.806 states/eV per atom.

***

[5]
A plane-wave DFT calculation with PBE was carried out for a relaxed HfMnMo2W crystal.

Lattice parameters (Å, degrees): 4.7482 4.7482 4.3384 90.00 90.00 90.00
Last column: nearest neighbours and their distance in Å.
Positions (direct):
Mo 0.0000 0.5000 0.0000  2 Hf 2.37
Mo 0.5000 0.0000 0.0000  2 Hf 2.37
Mn 0.0000 0.0000 0.5000  2 Hf 2.17
Hf 0.0000 0.0000 0.0000  2 Mn 2.17, 4 Mo 2.37
W 0.5000 0.5000 0.5000  8 Mo 3.22, 4 Mn 3.36

Output
As for the magnetization: 1.8 μB per formula unit. Its energy of formation from the pure elements is 2.131 eV per atom. The calculation puts the density of states at the Fermi level at 0.821 states/eV per atom.

***

[6]
A plane-wave DFT calculation with PBE was carried out for a relaxed HfMnZn2Mo crystal.

Lattice parameters (Å, degrees): 4.9841 4.7191 4.9841 90.00 90.00 90.00
Last column: nearest neighbours and their distance in Å.
Positions (direct):
Mo 0.0000 0.5000 0.0000  2 Hf 2.36
Mn 0.5000 0.5000 0.5000  8 Zn 3.43, 4 Mo 3.52
Hf 0.0000 0.0000 0.0000  2 Mo 2.36, 4 Zn 2.49
Zn 0.0000 0.0000 0.5000  2 Hf 2.49
Zn 0.5000 0.0000 0.0000  2 Hf 2.49

Output
As for the magnetization: 0.7 μB per formula unit. Its energy of formation from the pure elements is 1.979 eV per atom. The calculation puts the density of states at the Fermi level at 1.398 states/eV per atom.

***

[7]
A plane-wave DFT calculation with PBE was carried out for a relaxed HfZrMn2Mo crystal.

Lattice parameters (Å, degrees): 4.5944 4.8397 4.5944 90.00 90.00 90.00
Last column: nearest neighbours and their distance in Å.
Positions (direct):
Mo 0.0000 0.5000 0.0000  2 Zr 2.42
Mn 0.0000 0.0000 0.5000  2 Zr 2.30
Mn 0.5000 0.0000 0.0000  2 Zr 2.30
Hf 0.5000 0.5000 0.5000  4 Mo 3.25, 8 Mn 3.34
Zr 0.0000 0.0000 0.0000  4 Mn 2.30, 2 Mo 2.42

Output
As for the magnetization: 5.4 μB per formula unit. Its energy of formation from the pure elements is 1.343 eV per atom. The calculation puts the density of states at the Fermi level at 1.274 states/eV per atom.

***

[8]
A plane-wave DFT calculation with PBE was carried out for a relaxed HfZrMnMo crystal.

Lattice parameters (Å, degrees): 4.6543 4.6543 4.6543 60.00 60.00 60.00
Last column: nearest neighbours and their distance in Å.
Positions (direct):
Mo 0.7500 0.7500 0.7500  4 Hf 2.85, 4 Zr 2.85
Mn 0.2500 0.2500 0.2500  4 Zr 2.85, 4 Hf 2.85
Hf 0.5000 0.5000 0.5000  4 Mn 2.85, 4 Mo 2.85
Zr 0.0000 0.0000 0.0000  4 Mo 2.85, 4 Mn 2.85

Output
As for the magnetization: 2.3 μB per formula unit. Its energy of formation from the pure elements is -0.004 eV per atom. The calculation puts the density of states at the Fermi level at 1.441 states/eV per atom.

***

[9]
A plane-wave DFT calculation with PBE was carried out for a relaxed HfMn3N crystal.

Lattice parameters (Å, degrees): 3.8629 3.8629 3.8629 90.00 90.00 90.00
Last column: nearest neighbours and their distance in Å.
Positions (direct):
Mn 0.0000 0.5000 0.0000  2 N 1.93
Mn 0.0000 0.0000 0.5000  2 N 1.93
Mn 0.5000 0.0000 0.0000  2 N 1.93
Hf 0.5000 0.5000 0.5000  12 Mn 2.73
N 0.0000 0.0000 0.0000  6 Mn 1.93

Output
As for the magnetization: 1.5 μB per formula unit. The calculation puts the density of states at the Fermi level at 1.463 states/eV per atom. The calculation puts the distance to the lowest polymorph of the same formula at 0 meV per atom.

***

[10]
A plane-wave DFT calculation with PBE was carried out for a relaxed Hf5MnN6 crystal.

Lattice parameters (Å, degrees): 5.5387 5.5387 5.5376 99.54 99.54 119.95
Last column: nearest neighbours and their distance in Å.
Positions (direct):
Mn 0.0000 0.0000 0.0000  6 N 2.28-2.31
Hf 0.8387 0.1613 0.5000  6 N 2.24-2.26
Hf 0.6661 0.3339 0.0000  6 N 2.25-2.27
Hf 0.5000 0.5000 0.5000  6 N 2.24-2.26
Hf 0.3339 0.6661 0.0000  6 N 2.25-2.27
Hf 0.1613 0.8387 0.5000  6 N 2.24-2.26
N 0.9150 0.5752 0.7443  5 Hf 2.25-2.27, 1 Mn 2.31
N 0.4248 0.0850 0.2557  5 Hf 2.25-2.27, 1 Mn 2.31
N 0.7456 0.7456 0.2491  5 Hf 2.24-2.25, 1 Mn 2.28
N 0.2544 0.2544 0.7509  5 Hf 2.24-2.25, 1 Mn 2.28
N 0.5752 0.9150 0.7443  5 Hf 2.25-2.27, 1 Mn 2.31
N 0.0850 0.4248 0.2557  5 Hf 2.25-2.27, 1 Mn 2.31

Output
As for the magnetization: 4.2 μB per formula unit. The calculation puts the density of states at the Fermi level at 0.358 states/eV per atom. As for the calculated total energy: -0.389 hartree per atom.

***

[11]
A plane-wave DFT calculation with PBE was carried out for a relaxed Hf2MnN2 crystal.

Lattice parameters (Å, degrees): 4.4181 4.4181 5.0046 63.81 63.81 90.00
Last column: nearest neighbours and their distance in Å.
Positions (direct):
Mn 0.0000 0.0000 0.0000  2 N 1.90
Hf 0.7500 0.2500 0.5000  4 N 2.21
Hf 0.2500 0.7500 0.5000  4 N 2.21
N 0.2425 0.2425 0.5150  1 Mn 1.90
N 0.7575 0.7575 0.4850  1 Mn 1.90

Output
As for the magnetization: 2.8 μB per formula unit. The calculation puts the density of states at the Fermi level at 0.701 states/eV per atom. The calculation puts the distance to the lowest polymorph of the same formula at 0 meV per atom.

***

[12]
A plane-wave DFT calculation with PBE was carried out for a relaxed Hf6MnN2 crystal.

Lattice parameters (Å, degrees): 5.8431 5.8431 6.1997 61.89 61.89 60.00
Last column: nearest neighbours and their distance in Å.
Positions (direct):
Hf 0.7417 0.4275 0.7302  2 N 2.27-2.31
Hf 0.1005 0.7417 0.7302  2 N 2.27-2.31
Hf 0.4275 0.1005 0.7302  2 N 2.27-2.31
Hf 0.2508 0.6484 0.2421  2 N 2.20-2.22, 1 Mn 2.41
Hf 0.8588 0.2508 0.2421  2 N 2.20-2.22, 1 Mn 2.41
Hf 0.6484 0.8588 0.2421  2 N 2.20-2.22, 1 Mn 2.41
Mn 0.2979 0.2979 0.1062  3 Hf 2.41
N 0.8346 0.8346 0.4961  6 Hf 2.22-2.31
N 0.5054 0.5054 0.4838  6 Hf 2.20-2.27

Output
As for the magnetization: 0.0 μB per formula unit. The calculation puts the density of states at the Fermi level at 0.560 states/eV per atom. As for the calculated total energy: -0.374 hartree per atom.

***

Which formula does entry 11 have?
Hf2MnN2

***

Among the records above, which one has the highest magnetization?
HfZrMn2Mo

***

The highest magnetization belongs to which entry?
HfZrMn2Mo